Here is a relaxed structure of KZnCo2 from Alexandria via LeMat-Bulk. Energies are from PBE-GGA.

Cell: 2.813 4.410 6.696 Å, 90.00 96.71 90.00°
Space group P2/m (No. 10)
Unique sites:
K: 0.000 0.000 0.000 [1 per cell]
Zn: 0.500 0.000 0.500 [1 per cell]
Co: 0.271 0.500 0.631 [2 per cell]

ΔE_f, eV per atom: 0.61
Size of the total moment, μB/cell: 3.25
DFT total energy, eV per atom: -3.5346

Here is a relaxed structure of LuMnCuIr from Alexandria via LeMat-Bulk. Energies are from PBE-GGA.

Cell: 6.430 6.430 6.430 Å, 90.00 90.00 90.00°
Space group F-43m (No. 216)
Unique sites:
Lu: 0.000 0.000 0.000 [4 per cell]
Mn: 0.000 0.000 0.500 [4 per cell]
Cu: 0.250 0.250 0.250 [4 per cell]
Ir: 0.250 0.250 0.750 [4 per cell]

ΔE_f, eV per atom: -0.28
Size of the total moment, μB/cell: 16.71
DFT total energy, eV per atom: -6.9442

Here is a relaxed structure of PaCrB4 from Alexandria via LeMat-Bulk. Energies are from PBE-GGA.

Cell: 6.414 6.414 6.414 Å, 90.00 90.00 90.00°
Space group F-43m (No. 216)
Unique sites:
Pa: 0.000 0.000 0.000 [4 per cell]
Cr: 0.250 0.250 0.250 [4 per cell]
B: 0.097 0.097 0.597 [16 per cell]

ΔE_f, eV per atom: 0.56
Size of the total moment, μB/cell: 8.53
DFT total energy, eV per atom: -7.0748
Distance to the lowest polymorph of the same formula, eV/atom: 1.223

Here is a relaxed structure of AcDyHg2 from Alexandria via LeMat-Bulk. Energies are from PBE-GGA.

Cell: 3.9230 3.9230 28.6504 Å, 90.00 90.00 120.00°
Space group R-3m (No. 166, hexagonal axes)
Unique sites:
Ac: 0.0000 0.0000 0.0000 [3 per cell]
Dy: 0.0000 0.0000 0.5000 [3 per cell]
Hg: 0.0000 0.0000 0.2417 [6 per cell]

ΔE_f, eV per atom: -0.31
Size of the total moment, μB/cell: 0.00
DFT total energy, eV per atom: -2.6415

Here is a relaxed structure of KZr2Au from Alexandria via LeMat-Bulk. Energies are from PBE-GGA.

Cell: 3.341 3.341 9.754 Å, 90.00 90.00 90.00°
Space group P4mm (No. 99)
Unique sites:
K: 0.000 0.000 0.000 [1 per cell]
Zr: 0.000 0.000 0.562 [1 per cell]
Zr: 0.500 0.500 0.357 [1 per cell]
Au: 0.500 0.500 0.735 [1 per cell]

ΔE_f, eV per atom: -0.04
Size of the total moment, μB/cell: 0.00
DFT total energy, eV per atom: -5.4071
Distance to the lowest polymorph of the same formula, eV/atom: 0.000

Here is a relaxed structure of Ca2YPtO from Alexandria via LeMat-Bulk. Energies are from PBE-GGA.

Cell: 4.574 4.574 4.934 Å, 90.00 90.00 90.00°
Space group P4/mmm (No. 123)
Unique sites:
Ca: 0.000 0.500 0.000 [2 per cell]
Y: 0.000 0.000 0.500 [1 per cell]
Pt: 0.500 0.500 0.500 [1 per cell]
O: 0.000 0.000 0.000 [1 per cell]

E_form (uncorrected), eV per atom: -1.51
Size of the total moment, μB/cell: 0.00
DFT total energy, eV per atom: -5.8058

Here is a relaxed structure of HfZrSb2Rh from Alexandria via LeMat-Bulk. Energies are from PBE-GGA.

Cell: 5.068 5.068 4.927 Å, 90.00 90.00 90.00°
Space group P4/mmm (No. 123)
Unique sites:
Hf: 0.000 0.000 0.000 [1 per cell]
Zr: 0.500 0.500 0.000 [1 per cell]
Sb: 0.000 0.500 0.500 [2 per cell]
Rh: 0.500 0.500 0.500 [1 per cell]

E_form (uncorrected), eV per atom: 0.36
Size of the total moment, μB/cell: 0.00
DFT total energy, eV per atom: -6.4580

Here is a relaxed structure of InCuBCl2 from Alexandria via LeMat-Bulk. Energies are from PBE-GGA.

Cell: 5.449 5.449 4.383 Å, 90.00 90.00 90.00°
Space group P4/mmm (No. 123)
Unique sites:
In: 0.000 0.000 0.000 [1 per cell]
Cu: 0.500 0.500 0.500 [1 per cell]
B: 0.000 0.000 0.500 [1 per cell]
Cl: 0.000 0.500 0.000 [2 per cell]

E_form (uncorrected), eV per atom: 0.74
Size of the total moment, μB/cell: 0.00
DFT total energy, eV per atom: -2.7040

Here is a relaxed structure of AlPb5 from Alexandria via LeMat-Bulk. Energies are from PBE-GGA.

Cell: 9.202 9.202 9.202 Å, 90.00 90.00 90.00°
Space group F-43m (No. 216)
Unique sites:
Al: 0.000 0.000 0.000 [4 per cell]
Pb: 0.125 0.125 0.375 [16 per cell]
Pb: 0.250 0.250 0.750 [4 per cell]

ΔE_f, eV per atom: 0.31
Size of the total moment, μB/cell: 0.00
DFT total energy, eV per atom: -3.4070
Distance to the lowest polymorph of the same formula, eV/atom: 0.203

Here is a relaxed structure of CoAgCl from Alexandria via LeMat-Bulk. Energies are from PBE-GGA.

Cell: 5.450 3.147 6.523 Å, 90.00 106.02 90.00°
Space group Cm (No. 8)
Unique sites:
Co: 0.000 0.000 0.000 [2 per cell]
Ag: 0.440 0.000 0.322 [2 per cell]
Cl: 0.092 0.500 0.774 [2 per cell]

E_form (uncorrected), eV per atom: 0.10
Size of the total moment, μB/cell: 4.04
DFT total energy, eV per atom: -3.8346
Distance to the lowest polymorph of the same formula, eV/atom: 0.000

Here is a relaxed structure of NiOsCl from Alexandria via LeMat-Bulk. Energies are from PBE-GGA.

Cell: 4.2088 4.2088 2.7225 Å, 90.00 90.00 120.00°
Space group P-6m2 (No. 187)
Unique sites:
Ni: 0.0000 0.0000 0.0000 [1 per cell]
Os: 0.6667 0.3333 0.5000 [1 per cell]
Cl: 0.3333 0.6667 0.5000 [1 per cell]

E_form (uncorrected), eV per atom: 1.00
Size of the total moment, μB/cell: 0.00
DFT total energy, eV per atom: -5.2856
Distance to the lowest polymorph of the same formula, eV/atom: 0.424

Here is a relaxed structure of ZrCo2IrPd from Alexandria via LeMat-Bulk. Energies are from PBE-GGA.

Cell: 4.441 4.441 4.900 Å, 90.00 90.00 90.00°
Space group P4/mmm (No. 123)
Unique sites:
Zr: 0.000 0.000 0.000 [1 per cell]
Co: 0.000 0.500 0.500 [2 per cell]
Ir: 0.500 0.500 0.500 [1 per cell]
Pd: 0.500 0.500 0.000 [1 per cell]

ΔE_f, eV per atom: 0.92
Size of the total moment, μB/cell: 3.36
DFT total energy, eV per atom: -6.4476

Here is a relaxed structure of Ca2NpS4 from Alexandria via LeMat-Bulk. Energies are from PBE-GGA.

Cell: 7.037 11.879 4.080 Å, 90.00 90.00 90.00°
Space group Pbam (No. 55)
Unique sites:
Ca: 0.086 0.184 0.000 [4 per cell]
Np: 0.000 0.500 0.500 [2 per cell]
S: 0.134 0.709 0.500 [4 per cell]
S: 0.243 0.456 0.000 [4 per cell]

E_form (uncorrected), eV per atom: -1.74
Size of the total moment, μB/cell: 6.00
DFT total energy, eV per atom: -6.5210